First-principles (PBE) data for a relaxed structure of ScTa3O7, as listed in Alexandria.

Total moment in μB per cell: 6.074
Final energy in Ry per atom: -0.6893

a b c (Å): 8.5124 8.5124 7.7184
angles (deg): 90.00 90.00 120.00
Space group R3m (No. 160, hexagonal axes)
Unique sites:
Sc: 0.0000 0.0000 0.0000 [3 per cell]
Ta: 0.2205 0.1103 0.5580 [9 per cell]
O: 0.0000 0.0000 0.7454 [3 per cell]
O: 0.0478 0.5239 0.1235 [9 per cell]
O: 0.0762 0.5381 0.7243 [9 per cell]